No. 1
Density functional theory data (PBE) for a relaxed AgPtCl4 crystal.

Computed properties:
Calculated density (g cm⁻³): 3.7
ΔE_f (raw) (eV per atom): -0.351

a = 7.1777 Å, b = 7.2036 Å, c = 7.6611 Å
α = 90.00°, β = 90.00°, γ = 90.00°
Last column: nearest neighbours and their distance in Å.
Space group Pmmm (No. 47)
One atom of each set of equivalent atoms:
Ag 0.0000 0.0000 0.0000  4 Cl 2.56
Ag 0.5000 0.0000 0.5000  4 Cl 2.54
Pt 0.0000 0.0000 0.5000  4 Cl 2.30
Pt 0.0000 0.5000 0.0000  4 Cl 2.29
Cl 0.2257 0.2747 0.0000  1 Pt 2.29, 1 Ag 2.56
Cl 0.2272 0.2247 0.5000  1 Pt 2.30, 1 Ag 2.54

***

No. 2
Density functional theory data (PBE) for a relaxed PrHo2Tm crystal.

Computed properties:
Distance to the lowest polymorph of the same formula (meV per atom): 10
Calculated density (g cm⁻³): 8.3
ΔE_f (eV/atom): 0.026

a = 5.0304 Å, b = 5.0304 Å, c = 5.0522 Å
α = 90.00°, β = 90.00°, γ = 90.00°
Last column: nearest neighbours and their distance in Å.
Space group P4/mmm (No. 123)
One atom of each set of equivalent atoms:
Pr 0.0000 0.0000 0.0000  4 Tm 3.56, 8 Ho 3.56
Ho 0.0000 0.5000 0.5000  4 Ho 3.56, 4 Tm 3.56, 4 Pr 3.56
Tm 0.5000 0.5000 0.0000  4 Pr 3.56, 8 Ho 3.56

***

No. 3
Density functional theory data (PBE) for a relaxed CeZn2SnAu5 crystal.

Computed properties:
Calculated density (g cm⁻³): 12.1
ΔE_f (eV/atom): -0.256

a = 4.9148 Å, b = 4.9148 Å, c = 7.8125 Å
α = 90.00°, β = 90.00°, γ = 90.00°
Last column: nearest neighbours and their distance in Å.
Space group P4/mmm (No. 123)
One atom of each set of equivalent atoms:
Ce 0.0000 0.0000 0.0000  8 Au 3.10
Zn 0.5000 0.5000 0.3450  1 Zn 2.42, 5 Au 2.59-2.70
Sn 0.0000 0.0000 0.5000  8 Au 3.18
Au 0.0000 0.5000 0.2413  2 Zn 2.59
Au 0.5000 0.5000 0.0000  2 Zn 2.70

***

No. 4
Density functional theory data (PBE) for a relaxed Tb4TePbS2 crystal.

Computed properties:
Calculated density (g cm⁻³): 8.3
ΔE_f (raw) (eV per atom): -1.436

a = 8.3325 Å, b = 8.3641 Å, c = 11.8487 Å
α = 90.00°, β = 90.00°, γ = 90.00°
Last column: nearest neighbours and their distance in Å.
Space group Imma (No. 74)
One atom of each set of equivalent atoms:
Tb 0.0000 0.0210 0.2370  3 S 2.81-2.83, 2 Pb 3.08, 1 Te 3.12
Tb 0.2232 0.2500 0.0094  3 S 2.80-2.86, 1 Pb 3.08, 2 Te 3.11
Te 0.0000 0.0000 0.5000  6 Tb 3.11-3.12
Pb 0.2500 0.2500 0.7500  6 Tb 3.08
S 0.0000 0.0000 0.0000  6 Tb 2.80-2.81
S 0.2500 0.2500 0.2500  6 Tb 2.83-2.86

***

No. 5
Density functional theory data (PBE) for a relaxed Dy5Y2Tm5 crystal.

Computed properties:
Calculated density (g cm⁻³): 8.2
ΔE_f (eV/atom): 0.024

a = 14.9443 Å, b = 4.9805 Å, c = 11.1549 Å
α = 90.00°, β = 116.55°, γ = 90.00°
Last column: nearest neighbours and their distance in Å.
Space group C2/m (No. 12)
One atom of each set of equivalent atoms:
Dy 0.0000 0.0000 0.0000  4 Y 3.52, 6 Tm 3.53, 2 Dy 3.53
Dy 0.0844 0.0000 0.7503  7 Tm 3.50-3.53, 3 Dy 3.51-3.53, 2 Y 3.53
Dy 0.1661 0.0000 0.4999  4 Dy 3.51-3.53, 5 Tm 3.52-3.54, 3 Y 3.53-3.54
Y 0.0832 0.5000 0.2490  7 Dy 3.52-3.54, 5 Tm 3.53
Tm 0.0000 0.5000 0.5000  8 Dy 3.52-3.53, 2 Tm 3.52, 2 Y 3.53
Tm 0.1678 0.5000 0.0004  5 Dy 3.50-3.53, 5 Tm 3.50-3.52, 2 Y 3.53
Tm 0.2495 0.5000 0.7504  6 Dy 3.50-3.54, 4 Tm 3.51-3.52, 2 Y 3.53

***

No. 6
Density functional theory data (PBE) for a relaxed Y2Tc2Ag crystal.

Computed properties:
Distance to the lowest polymorph of the same formula (meV per atom): 0
Calculated density (g cm⁻³): 7.4
ΔE_f (eV/atom): 0.051

a = 7.0882 Å, b = 7.0882 Å, c = 4.3082 Å
α = 90.00°, β = 90.00°, γ = 90.00°
Last column: nearest neighbours and their distance in Å.
Space group P4/mbm (No. 127)
One atom of each set of equivalent atoms:
Y 0.1803 0.3197 0.0000  6 Tc 2.98-3.04
Tc 0.1143 0.6143 0.5000  1 Tc 2.29
Ag 0.0000 0.0000 0.5000  4 Tc 2.85

***

No. 7
Density functional theory data (PBE) for a relaxed SmAgRh crystal.

Computed properties:
Distance to the lowest polymorph of the same formula (meV per atom): 0
Calculated density (g cm⁻³): 9.3
ΔE_f (eV/atom): -0.457

a = 3.7561 Å, b = 17.4270 Å, c = 3.9615 Å
α = 90.00°, β = 90.00°, γ = 90.00°
Last column: nearest neighbours and their distance in Å.
Space group Cmcm (No. 63)
One atom of each set of equivalent atoms:
Sm 0.0000 0.1003 0.2500  4 Rh 2.87
Ag 0.0000 0.2869 0.2500  1 Rh 2.84, 4 Ag 3.02
Rh 0.0000 0.4497 0.2500  2 Rh 2.64, 1 Ag 2.84, 4 Sm 2.87

***

No. 8
Density functional theory data (PBE) for a relaxed CdIrCl6 crystal.

Computed properties:
Distance to the lowest polymorph of the same formula (meV per atom): 0
Calculated density (g cm⁻³): 3.2
ΔE_f (raw) (eV per atom): -0.637

a = 8.0696 Å, b = 10.6476 Å, c = 6.6584 Å
α = 90.00°, β = 111.78°, γ = 90.00°
Last column: nearest neighbours and their distance in Å.
Space group C2/m (No. 12)
One atom of each set of equivalent atoms:
Cd 0.0000 0.0000 0.0000  6 Cl 2.67-2.69
Ir 0.0000 0.0000 0.5000  6 Cl 2.34-2.35
Cl 0.1238 0.1524 0.7691  1 Ir 2.35
Cl 0.2494 0.5000 0.5976  1 Ir 2.34

***

No. 9
Density functional theory data (PBE) for a relaxed AcPm4Pr2Nd crystal.

Computed properties:
Calculated density (g cm⁻³): 7.0
ΔE_f (eV/atom): 0.372

a = 14.0639 Å, b = 13.5839 Å, c = 7.1083 Å
α = 90.00°, β = 120.22°, γ = 90.00°
Last column: nearest neighbours and their distance in Å.
Space group C2/c (No. 15)
One atom of each set of equivalent atoms:
Ac 0.2500 0.2500 0.0000  6 Pm 3.52-3.57, 2 Pr 3.55
Pm 0.9997 0.2491 0.0127  2 Pm 3.37-3.74, 1 Nd 3.38, 3 Pr 3.41-3.48, 2 Ac 3.57
Pm 0.2487 0.0074 0.4358  1 Nd 3.31, 2 Pr 3.33, 1 Ac 3.52, 2 Pm 3.56
Pr 0.0000 0.5000 0.0000  4 Pm 3.33-3.41, 2 Pr 3.55
Pr 0.2500 0.2500 0.5000  6 Pm 3.33-3.48, 2 Ac 3.55
Nd 0.0000 0.0000 0.0000  4 Pm 3.31-3.38, 2 Nd 3.55

***

No. 10
Density functional theory data (PBE) for a relaxed Li2Cd5Sn2Hg2 crystal.

Computed properties:
Calculated density (g cm⁻³): 6.5
ΔE_f (eV/atom): 0.031

a = 4.2543 Å, b = 4.2543 Å, c = 34.4329 Å
α = 90.00°, β = 90.00°, γ = 90.00°
Last column: nearest neighbours and their distance in Å.
Space group I4/mmm (No. 139)
One atom of each set of equivalent atoms:
Li 0.0000 0.0000 0.2046  5 Sn 2.81-3.02, 4 Cd 2.95
Cd 0.0000 0.0000 0.5000  2 Hg 2.79
Cd 0.0000 0.5000 0.1454  2 Li 2.95, 4 Cd 3.01, 2 Hg 3.07, 2 Sn 3.17
Sn 0.0000 0.0000 0.2863  5 Li 2.81-3.02
Hg 0.0000 0.0000 0.4189  5 Cd 2.79-3.07

***

No. 11
Density functional theory data (PBE) for a relaxed LiFe2Te crystal.

Computed properties:
Calculated density (g cm⁻³): 6.5
ΔE_f (raw) (eV per atom): 0.303

a = 5.3738 Å, b = 9.4010 Å, c = 2.9681 Å
α = 90.00°, β = 123.26°, γ = 90.00°
Last column: nearest neighbours and their distance in Å.
Space group C2/m (No. 12)
One atom of each set of equivalent atoms:
Li 0.0000 0.0000 0.0000  4 Te 2.69-2.70, 4 Fe 2.71, 2 Li 2.97
Fe 0.2500 0.2500 0.0000  6 Fe 2.69-2.97, 2 Li 2.71, 2 Te 2.71
Te 0.0000 0.5000 0.0000  4 Li 2.69-2.70, 4 Fe 2.71, 2 Te 2.97

***

No. 12
Density functional theory data (PBE) for a relaxed Pr8CoRh2 crystal.

Computed properties:
Calculated density (g cm⁻³): 6.9
ΔE_f (eV/atom): -0.271

a = 18.8815 Å, b = 3.9533 Å, c = 8.9627 Å
α = 90.00°, β = 94.56°, γ = 90.00°
Last column: nearest neighbours and their distance in Å.
Space group C2/m (No. 12)
One atom of each set of equivalent atoms:
Pr 0.0072 0.0000 0.2053  2 Co 2.70
Pr 0.0971 0.5000 0.5391  2 Rh 2.92
Pr 0.1527 0.5000 0.9737  1 Co 2.91, 2 Rh 2.95
Pr 0.2213 0.0000 0.3334  2 Rh 2.95
Co 0.0000 0.5000 0.0000  6 Pr 2.70-2.91
Rh 0.1702 0.0000 0.7350  6 Pr 2.92-2.95

***

No. 13
Density functional theory data (PBE) for a relaxed Pm2YErTm crystal.

Computed properties:
Calculated density (g cm⁻³): 6.8
ΔE_f (eV/atom): 0.409

a = 8.3769 Å, b = 11.5033 Å, c = 7.2430 Å
α = 90.00°, β = 90.00°, γ = 90.00°
Last column: nearest neighbours and their distance in Å.
Space group Cmcm (No. 63)
One atom of each set of equivalent atoms:
Pm 0.1948 0.0000 0.0000  2 Tm 3.14, 1 Pm 3.26, 2 Er 3.47
Y 0.0000 0.2387 0.2500  1 Tm 3.22
Er 0.0000 0.2150 0.7500  1 Tm 3.07
Tm 0.0000 0.4816 0.7500  1 Er 3.07, 4 Pm 3.14, 1 Y 3.22

***

No. 14
Density functional theory data (PBE) for a relaxed BaTa4Rh crystal.

Computed properties:
Calculated density (g cm⁻³): 12.6
ΔE_f (eV/atom): 0.782

a = 7.9872 Å, b = 7.9872 Å, c = 7.9872 Å
α = 90.00°, β = 90.00°, γ = 90.00°
Last column: nearest neighbours and their distance in Å.
Space group F-43m (No. 216)
One atom of each set of equivalent atoms:
Ba 0.0000 0.0000 0.0000  12 Ta 3.31, 4 Rh 3.46
Ta 0.1252 0.1252 0.3748  6 Ta 2.82-2.83
Rh 0.2500 0.2500 0.7500  12 Ta 3.31, 4 Ba 3.46

***

No. 15
Density functional theory data (PBE) for a relaxed Dy2MnSiPt6 crystal.

Computed properties:
Calculated density (g cm⁻³): 13.1
ΔE_f (raw) (eV per atom): -0.802

a = 5.5827 Å, b = 5.5827 Å, c = 22.2279 Å
α = 90.00°, β = 90.00°, γ = 120.00°
Last column: nearest neighbours and their distance in Å.
Space group R-3m (No. 166, hexagonal axes)
One atom of each set of equivalent atoms:
Dy 0.0000 0.0000 0.2034  9 Pt 3.02-3.23, 3 Mn 3.32
Mn 0.0000 0.0000 0.5000  6 Pt 2.53
Si 0.0000 0.0000 0.0000  6 Pt 2.39
Pt 0.0044 0.5022 0.2551  1 Si 2.39, 1 Mn 2.53

***

No. 16
Density functional theory data (PBE) for a relaxed Y2AgPdC crystal.

Computed properties:
Distance to the lowest polymorph of the same formula (meV per atom): 0
Calculated density (g cm⁻³): 6.7
ΔE_f (eV/atom): -0.351

a = 4.9520 Å, b = 4.9520 Å, c = 4.0657 Å
α = 90.00°, β = 90.00°, γ = 90.00°
Last column: nearest neighbours and their distance in Å.
Space group P4/mmm (No. 123)
One atom of each set of equivalent atoms:
Y 0.0000 0.5000 0.0000  2 C 2.48
Ag 0.0000 0.0000 0.5000  8 Y 3.20, 4 Pd 3.50
Pd 0.5000 0.5000 0.5000  2 C 2.03
C 0.5000 0.5000 0.0000  2 Pd 2.03

***

No. 17
Density functional theory data (PBE) for a relaxed Ba4SnPt crystal.

Computed properties:
Calculated density (g cm⁻³): 5.5
ΔE_f (eV/atom): -0.527

a = 10.6133 Å, b = 15.2865 Å, c = 7.7081 Å
α = 90.00°, β = 123.18°, γ = 90.00°
Last column: nearest neighbours and their distance in Å.
Space group C2/c (No. 15)
One atom of each set of equivalent atoms:
Ba 0.1157 0.1726 0.0825  2 Pt 3.41-3.44, 2 Sn 3.59-3.65
Ba 0.2119 0.4406 0.2860  2 Pt 3.31-3.34, 2 Sn 3.64
Sn 0.0000 0.3652 0.7500  8 Ba 3.59-3.65
Pt 0.0000 0.0003 0.2500  8 Ba 3.31-3.44

***

No. 18
Density functional theory data (PBE) for a relaxed Zn2IrOs crystal.

Computed properties:
Distance to the lowest polymorph of the same formula (meV per atom): 71
Calculated density (g cm⁻³): 14.9
ΔE_f (eV/atom): 0.084

a = 2.7446 Å, b = 3.7971 Å, c = 5.4873 Å
α = 90.00°, β = 90.00°, γ = 90.00°
Last column: nearest neighbours and their distance in Å.
Space group Pmm2 (No. 25)
One atom of each set of equivalent atoms:
Zn 0.0000 0.0000 0.0000  6 Zn 2.68-2.74, 2 Os 2.73-2.76, 4 Ir 2.75
Zn 0.5000 0.5000 0.2379  6 Zn 2.68-2.74, 2 Ir 2.73-2.76, 4 Os 2.76
Ir 0.5000 0.5000 0.7358  4 Os 2.67, 6 Zn 2.73-2.76, 2 Ir 2.74
Os 0.0000 0.0000 0.5023  4 Ir 2.67, 6 Zn 2.73-2.76, 2 Os 2.74

***

No. 19
Density functional theory data (PBE) for a relaxed Ce7Hg3Pt crystal.

Computed properties:
Calculated density (g cm⁻³): 9.9
ΔE_f (eV/atom): -0.276

a = 11.4094 Å, b = 10.7374 Å, c = 5.3686 Å
α = 90.00°, β = 114.90°, γ = 90.00°
Last column: nearest neighbours and their distance in Å.
Space group C2/m (No. 12)
One atom of each set of equivalent atoms:
Ce 0.0000 0.0000 0.0000  2 Pt 2.68
Ce 0.1800 0.2453 0.6550  2 Ce 2.75-2.88
Ce 0.2101 0.5000 0.1932  2 Ce 2.88, 1 Pt 3.01, 2 Hg 3.14
Hg 0.0000 0.2895 0.0000  9 Ce 3.11-3.35
Hg 0.0000 0.5000 0.5000  8 Ce 3.31-3.48, 4 Hg 3.51
Pt 0.0000 0.0000 0.5000  2 Ce 2.68

***

No. 20
Density functional theory data (PBE) for a relaxed Ho2AgPd2 crystal.

Computed properties:
Calculated density (g cm⁻³): 10.1
ΔE_f (eV/atom): -0.764

a = 7.6366 Å, b = 7.6366 Å, c = 3.6807 Å
α = 90.00°, β = 90.00°, γ = 90.00°
Last column: nearest neighbours and their distance in Å.
Space group P4/mbm (No. 127)
One atom of each set of equivalent atoms:
Ho 0.1708 0.3292 0.0000  6 Pd 2.83-2.96
Ag 0.0000 0.0000 0.5000  4 Pd 2.99
Pd 0.1303 0.6303 0.5000  1 Pd 2.81, 6 Ho 2.83-2.96, 2 Ag 2.99